1.
SrLa2Er after structural relaxation, computed with PBE.

## Properties
Total magnetic moment   0.00 μB per formula unit
Distance to the lowest polymorph of the same formula   0.32 eV/f.u.
DFT formation energy   0.174 eV per atom

Structure (CIF):
```
data_SrLa2Er
_chemical_formula_sum 'Sr3 La6 Er3'
_cell_length_a 3.6987
_cell_length_b 3.6987
_cell_length_c 39.5749
_cell_angle_alpha 90.00
_cell_angle_beta 90.00
_cell_angle_gamma 120.00
_space_group_name_H-M_alt 'R -3 m'
_space_group_IT_number 166
_space_group_name_Hall '-R 3 2"'
loop_
_atom_site_label
_atom_site_fract_x
_atom_site_fract_y
_atom_site_fract_z
Sr1 0.0000 0.0000 0.0000
La1 0.0000 0.0000 0.0937
Er1 0.0000 0.0000 0.5000
```


2.
BeFePd6 after structural relaxation, computed with PBE.

## Properties
Total magnetic moment   4.45 μB per formula unit
Distance to the lowest polymorph of the same formula   0.00 eV/f.u.
DFT formation energy   -0.183 eV per atom

Structure (CIF):
```
data_BeFePd6
_chemical_formula_sum 'Be2 Fe2 Pd12'
_cell_length_a 3.983
_cell_length_b 3.983
_cell_length_c 14.339
_cell_angle_alpha 90.00
_cell_angle_beta 90.00
_cell_angle_gamma 90.00
_space_group_name_H-M_alt 'I 4/m m m'
_space_group_IT_number 139
_space_group_name_Hall '-I 4 2'
loop_
_atom_site_label
_atom_site_fract_x
_atom_site_fract_y
_atom_site_fract_z
Be1 0.000 0.000 0.000
Fe1 0.000 0.000 0.500
Pd1 0.000 0.000 0.249
Pd2 0.000 0.500 0.109
```